# BaLuGa2 (GGA-PBE, relaxed)
data_BaLuGa2
_cell_length_a 3.7805
_cell_length_b 3.7805
_cell_length_c 28.2424
_cell_angle_alpha 90.00
_cell_angle_beta 90.00
_cell_angle_gamma 120.00
_space_group_name_H-M_alt 'R -3 m'
_space_group_IT_number 166
_space_group_name_Hall '-R 3 2"'
loop_
_atom_site_label
_atom_site_fract_x
_atom_site_fract_y
_atom_site_fract_z
Ba1 0.0000 0.0000 0.0000
Lu1 0.0000 0.0000 0.5000
Ga1 0.0000 0.0000 0.2401
# Mass density in g cm⁻³: 6.44
# Final energy in eV per cell: -39.4
# Energy of formation from the pure elements in eV per atom: -0.157